1.
{"formula": "MgCuTcGe", "functional": "PBE-GGA", "state": "relaxed", "sg": "F-43m", "total_energy_ev_per_atom": -4.95, "volume_a3_per_cell": 58, "e_above_lowest_polymorph_ev_per_atom": 0.000, "crystal_system": "cubic", "m_tot_mub_per_fu": 0.00, "lattice_angstrom": [[0.000, 3.069, 3.069], [3.069, 0.000, 3.069], [3.069, 3.069, 0.000]], "species": ["Cu", "Ge", "Mg", "Tc"], "frac_coords": [[0.750, 0.750, 0.750], [0.000, 0.000, 0.000], [0.500, 0.500, 0.500], [0.250, 0.250, 0.250]]}

2.
{"formula": "RbNaMoPt", "functional": "PBE-GGA", "state": "relaxed", "sg": "F-43m", "total_energy_ev_per_atom": -3.75, "volume_a3_per_cell": 96, "e_above_lowest_polymorph_ev_per_atom": 0.007, "crystal_system": "cubic", "m_tot_mub_per_fu": 4.13, "lattice_angstrom": [[-4.963, -1.127, 0.714], [-3.422, 3.776, 0.672], [-3.428, 1.046, -3.683]], "species": ["Mo", "Na", "Pt", "Rb"], "frac_coords": [[0.000, 0.000, 0.000], [0.750, 0.750, 0.750], [0.250, 0.250, 0.250], [0.500, 0.500, 0.500]]}